Tb2Nd5SmDy after structural relaxation, computed with PBE-GGA.

Calculated values
Formation energy, eV/f.u.: 1.27
Space group: Cmc2_1
DOS at the Fermi energy, states/eV per atom: 1.565

Structure (CIF):
```
data_Tb2Nd5SmDy
_space_group_name_H-M_alt 'P 1'
_space_group_IT_number 1
_space_group_name_Hall 'P 1'
_cell_length_a 5.688
_cell_length_b 10.625
_cell_length_c 10.740
_cell_angle_alpha 90.00
_cell_angle_beta 90.00
_cell_angle_gamma 105.53
loop_
_atom_site_label
_atom_site_type_symbol
_atom_site_fract_x
_atom_site_fract_y
_atom_site_fract_z
_atom_site_occupancy
Nd1 Nd 0.480 0.961 0.743 1
Nd2 Nd 0.016 0.032 0.021 1
Nd3 Nd 0.984 0.968 0.521 1
Nd4 Nd 0.297 0.593 0.704 1
Nd5 Nd 0.520 0.039 0.243 1
Nd6 Nd 0.390 0.779 0.024 1
Nd7 Nd 0.610 0.221 0.524 1
Nd8 Nd 0.719 0.439 0.810 1
Nd9 Nd 0.703 0.407 0.204 1
Nd10 Nd 0.281 0.561 0.310 1
Dy1 Dy 0.590 0.181 0.959 1
Dy2 Dy 0.410 0.819 0.459 1
Tb1 Tb 0.884 0.767 0.816 1
Tb2 Tb 0.116 0.233 0.316 1
Tb3 Tb 0.889 0.777 0.237 1
Tb4 Tb 0.111 0.223 0.737 1
Sm1 Sm 0.800 0.599 0.510 1
Sm2 Sm 0.200 0.401 0.010 1
```